This record from Alexandria describes Li2UInO6 after structural relaxation. The functional is PBE.

```
Li2UInO6
1.0
-0.033 -5.295 -0.946
1.896 -3.406 3.707
-3.840 -3.227 2.903
O Li In U
6 2 1 1
Direct
0.216 0.936 0.265
0.705 0.098 0.779
0.417 0.706 0.779
0.936 0.583 0.265
0.099 0.417 0.779
0.583 0.216 0.265
0.030 0.029 0.911
0.538 0.538 0.386
0.817 0.817 0.549
0.321 0.321 0.038
```

Computed properties:
E_tot ... -6.937 eV/atom
E_form (uncorrected) ... -2.177 eV/atom
Theoretical density ... 6267 kg/m3
Symmetry ... R3, No. 146